Entry 1:
SmHo5Al2: relaxed, PBE.

Results
Raw total energy, eV per cell: -71.7
Calculated density, g/cm³: 7.6
DFT formation energy, eV per atom: -0.0970

Unit cell a=3.547 b=10.196 c=12.447 alpha=90.00 beta=90.00 gamma=90.00
Space group Immm (No. 71)
One atom of each set of equivalent atoms:
Sm: 0.000 0.000 0.000 (multiplicity 2)
Ho: 0.000 0.225 0.363 (multiplicity 8)
Ho: 0.000 0.500 0.000 (multiplicity 2)
Al: 0.000 0.500 0.258 (multiplicity 4)

---

Entry 2:
CdBiCl2: relaxed, PBE.

Results
Raw total energy, eV per cell: -32.2
Excess energy over the best structure of this formula in the dataset, meV per atom: 0
Calculated density, g/cm³: 4.8
Raw formation energy, eV/atom: -0.558

Unit cell a=3.6236 b=3.6236 c=35.7299 alpha=90.00 beta=90.00 gamma=120.00
Space group R-3m (No. 166, hexagonal axes)
One atom of each set of equivalent atoms:
Cd: 0.0000 0.0000 0.0000 (multiplicity 3)
Bi: 0.0000 0.0000 0.5000 (multiplicity 3)
Cl: 0.0000 0.0000 0.3779 (multiplicity 6)

---

Entry 3:
NbAlTe: relaxed, PBE.

Results
Raw total energy, eV per cell: -16.5
Excess energy over the best structure of this formula in the dataset, meV per atom: 359
Calculated density, g/cm³: 6.1
Raw formation energy, eV/atom: 0.151

Unit cell a=3.611 b=4.019 c=4.652 alpha=90.00 beta=90.00 gamma=90.00
Space group Pmmm (No. 47)
One atom of each set of equivalent atoms:
Nb: 0.000 0.000 0.000 (multiplicity 1)
Al: 0.500 0.500 0.000 (multiplicity 1)
Te: 0.500 0.000 0.500 (multiplicity 1)

---

Entry 4:
Y4Cd5Co2: relaxed, PBE.

Results
Raw total energy, eV per cell: -47.6
Calculated density, g/cm³: 6.7
DFT formation energy, eV per atom: -0.2720

Unit cell a=7.632 b=3.619 c=9.318 alpha=90.00 beta=94.68 gamma=90.00
Space group P2/m (No. 10)
One atom of each set of equivalent atoms:
Y: 0.169 0.000 0.337 (multiplicity 2)
Y: 0.215 0.000 0.941 (multiplicity 2)
Cd: 0.177 0.500 0.647 (multiplicity 2)
Cd: 0.449 0.500 0.172 (multiplicity 2)
Cd: 0.500 0.500 0.500 (multiplicity 1)
Co: 0.066 0.500 0.129 (multiplicity 2)

---

Entry 5:
AsIrRh2: relaxed, PBE.

Results
Raw total energy, eV per cell: -56.6
Calculated density, g/cm³: 13.3
DFT formation energy, eV per atom: -0.0241

Unit cell a=9.423 b=2.840 c=4.729 alpha=90.00 beta=110.81 gamma=90.00
Space group Cm (No. 8)
One atom of each set of equivalent atoms:
As: 0.000 0.000 0.000 (multiplicity 2)
Ir: 0.212 0.500 0.344 (multiplicity 2)
Rh: 0.267 0.000 0.877 (multiplicity 2)
Rh: 0.477 0.000 0.549 (multiplicity 2)

---

Entry 6:
Sb2PtAu: relaxed, PBE.

Results
Raw total energy, eV per cell: -70.0
Excess energy over the best structure of this formula in the dataset, meV per atom: 227
Calculated density, g/cm³: 12.5
Raw formation energy, eV/atom: 0.014

Unit cell a=6.967 b=6.967 c=6.967 alpha=90.00 beta=90.00 gamma=90.00
Space group Fm-3m (No. 225)
One atom of each set of equivalent atoms:
Sb: 0.250 0.250 0.250 (multiplicity 8)
Pt: 0.000 0.000 0.000 (multiplicity 4)
Au: 0.000 0.000 0.500 (multiplicity 4)

---

Entry 7:
Pm6AgSn3: relaxed, PBE.

Results
Raw total energy, eV per cell: -189.2
Calculated density, g/cm³: 7.1
DFT formation energy, eV per atom: -0.3925

Unit cell a=11.296 b=15.164 c=7.305 alpha=90.00 beta=90.00 gamma=90.00
Space group Cmc2_1 (No. 36)
One atom of each set of equivalent atoms:
Pm: 0.000 0.045 0.000 (multiplicity 4)
Pm: 0.000 0.298 0.971 (multiplicity 4)
Pm: 0.187 0.295 0.444 (multiplicity 8)
Pm: 0.219 0.453 0.800 (multiplicity 8)
Ag: 0.000 0.160 0.320 (multiplicity 4)
Sn: 0.000 0.453 0.510 (multiplicity 4)
Sn: 0.141 0.122 0.662 (multiplicity 8)

---

Entry 8:
MoAs2PbBr: relaxed, PBE.

Results
Raw total energy, eV per cell: -24.4
Excess energy over the best structure of this formula in the dataset, meV per atom: 0
Calculated density, g/cm³: 6.8
Raw formation energy, eV/atom: 0.225

Unit cell a=4.855 b=4.855 c=5.549 alpha=90.00 beta=90.00 gamma=90.00
Space group P4/mmm (No. 123)
One atom of each set of equivalent atoms:
Mo: 0.000 0.000 0.000 (multiplicity 1)
As: 0.000 0.500 0.000 (multiplicity 2)
Pb: 0.500 0.500 0.500 (multiplicity 1)
Br: 0.000 0.000 0.500 (multiplicity 1)

---

Entry 9:
Rb2U2ZnS6: relaxed, PBE.

Results
Raw total energy, eV per cell: -127.9
Calculated density, g/cm³: 4.6
Raw formation energy, eV/atom: -1.217

Unit cell a=6.687 b=12.400 c=8.161 alpha=90.00 beta=105.15 gamma=90.00
Space group C2/m (No. 12)
One atom of each set of equivalent atoms:
Rb: 0.000 0.155 0.000 (multiplicity 4)
U: 0.000 0.334 0.500 (multiplicity 4)
Zn: 0.000 0.000 0.500 (multiplicity 2)
S: 0.235 0.181 0.692 (multiplicity 8)
S: 0.242 0.000 0.338 (multiplicity 4)

---

Entry 10:
WC3Cl: relaxed, PBE.

Results
Raw total energy, eV per cell: -26.2
Excess energy over the best structure of this formula in the dataset, meV per atom: 1187
Calculated density, g/cm³: 8.7
Raw formation energy, eV/atom: 3.254

Unit cell a=3.653 b=3.653 c=3.653 alpha=90.00 beta=90.00 gamma=90.00
Space group Pm-3m (No. 221)
One atom of each set of equivalent atoms:
W: 0.000 0.000 0.000 (multiplicity 1)
C: 0.000 0.500 0.500 (multiplicity 3)
Cl: 0.500 0.500 0.500 (multiplicity 1)

---

Entry 11:
LiRuSe: relaxed, PBE.

Results
Raw total energy, eV per cell: -60.7
Excess energy over the best structure of this formula in the dataset, meV per atom: 253
Calculated density, g/cm³: 6.5
Raw formation energy, eV/atom: -0.164

Unit cell a=5.763 b=5.763 c=5.763 alpha=90.00 beta=90.00 gamma=90.00
Space group F-43m (No. 216)
One atom of each set of equivalent atoms:
Li: 0.000 0.000 0.000 (multiplicity 4)
Ru: 0.000 0.000 0.500 (multiplicity 4)
Se: 0.250 0.250 0.250 (multiplicity 4)

---

Entry 12:
TeC5: relaxed, PBE.

Results
Raw total energy, eV per cell: -34.7
Excess energy over the best structure of this formula in the dataset, meV per atom: 1299
Calculated density, g/cm³: 2.6
Raw formation energy, eV/atom: 2.432

Unit cell a=4.592 b=4.592 c=5.644 alpha=90.00 beta=90.00 gamma=90.00
Space group P4/mmm (No. 123)
One atom of each set of equivalent atoms:
Te: 0.000 0.000 0.000 (multiplicity 1)
C: 0.000 0.000 0.387 (multiplicity 2)
C: 0.500 0.500 0.270 (multiplicity 2)
C: 0.500 0.500 0.500 (multiplicity 1)

---

Entry 13:
ErAl2Pd: relaxed, PBE.

Results
Raw total energy, eV per cell: -162.6
Calculated density, g/cm³: 7.2
DFT formation energy, eV per atom: -0.7710

Unit cell a=15.902 b=6.916 c=5.494 alpha=90.00 beta=90.00 gamma=90.00
Space group Pnma (No. 62)
One atom of each set of equivalent atoms:
Er: 0.108 0.250 0.229 (multiplicity 4)
Er: 0.144 0.750 0.469 (multiplicity 4)
Al: 0.033 0.053 0.738 (multiplicity 8)
Al: 0.214 0.555 0.954 (multiplicity 8)
Pd: 0.072 0.750 0.990 (multiplicity 4)
Pd: 0.175 0.250 0.713 (multiplicity 4)

---

Entry 14:
ScTlV2: relaxed, PBE.

Results
Raw total energy, eV per cell: -100.9
Excess energy over the best structure of this formula in the dataset, meV per atom: 0
Calculated density, g/cm³: 7.5
DFT formation energy, eV per atom: 0.4304

Unit cell a=6.761 b=6.761 c=6.761 alpha=90.00 beta=90.00 gamma=90.00
Space group Fm-3m (No. 225)
One atom of each set of equivalent atoms:
Sc: 0.000 0.000 0.000 (multiplicity 4)
Tl: 0.000 0.000 0.500 (multiplicity 4)
V: 0.250 0.250 0.250 (multiplicity 8)

---

Entry 15:
GeBOsF2: relaxed, PBE.

Results
Raw total energy, eV per cell: -24.1
Excess energy over the best structure of this formula in the dataset, meV per atom: 555
Calculated density, g/cm³: 7.6
Raw formation energy, eV/atom: 0.426

Unit cell a=3.769 b=3.769 c=4.764 alpha=90.00 beta=90.00 gamma=90.00
Space group P4/mmm (No. 123)
One atom of each set of equivalent atoms:
Ge: 0.000 0.000 0.000 (multiplicity 1)
B: 0.000 0.000 0.500 (multiplicity 1)
Os: 0.500 0.500 0.500 (multiplicity 1)
F: 0.000 0.500 0.000 (multiplicity 2)

---

Entry 16:
Rb4Cu3AgF12: relaxed, PBE.

Results
Raw total energy, eV per cell: -164.4
Calculated density, g/cm³: 4.8
Raw formation energy, eV/atom: -2.038

Unit cell a=8.450 b=8.450 c=8.450 alpha=90.00 beta=90.00 gamma=90.00
Space group Im-3m (No. 229)
One atom of each set of equivalent atoms:
Rb: 0.250 0.250 0.250 (multiplicity 8)
Cu: 0.000 0.000 0.500 (multiplicity 6)
Ag: 0.000 0.000 0.000 (multiplicity 2)
F: 0.000 0.000 0.273 (multiplicity 12)
F: 0.000 0.250 0.500 (multiplicity 12)

---

Entry 17:
Mn5Cl: relaxed, PBE.

Results
Raw total energy, eV per cell: -44.4
Excess energy over the best structure of this formula in the dataset, meV per atom: 339
Calculated density, g/cm³: 6.9
Raw formation energy, eV/atom: 0.554

Unit cell a=4.5192 b=4.5192 c=4.1952 alpha=90.00 beta=90.00 gamma=120.00
Space group P-62m (No. 189)
One atom of each set of equivalent atoms:
Mn: 0.0000 0.6437 0.0000 (multiplicity 3)
Mn: 0.3333 0.6667 0.5000 (multiplicity 2)
Cl: 0.0000 0.0000 0.5000 (multiplicity 1)

---

Entry 18:
TcNi2Hg: relaxed, PBE.

Results
Raw total energy, eV per cell: -21.6
Calculated density, g/cm³: 12.1
DFT formation energy, eV per atom: 0.1687

Unit cell a=2.746 b=2.746 c=7.561 alpha=90.00 beta=90.00 gamma=90.00
Space group P4/mmm (No. 123)
One atom of each set of equivalent atoms:
Tc: 0.000 0.000 0.000 (multiplicity 1)
Ni: 0.500 0.500 0.226 (multiplicity 2)
Hg: 0.000 0.000 0.500 (multiplicity 1)

---

Entry 19:
Mg2TcOs: relaxed, PBE.

Results
Raw total energy, eV per cell: -47.4
Excess energy over the best structure of this formula in the dataset, meV per atom: 250
Calculated density, g/cm³: 8.9
DFT formation energy, eV per atom: 0.2673

Unit cell a=3.193 b=4.380 c=8.975 alpha=90.00 beta=90.00 gamma=90.00
Space group Cmmm (No. 65)
One atom of each set of equivalent atoms:
Mg: 0.000 0.000 0.247 (multiplicity 4)
Tc: 0.000 0.500 0.500 (multiplicity 2)
Os: 0.000 0.500 0.000 (multiplicity 2)

---

Entry 20:
Te2AsRh: relaxed, PBE.

Results
Raw total energy, eV per cell: -33.0
Calculated density, g/cm³: 8.2
Raw formation energy, eV/atom: 0.447

Unit cell a=4.088 b=4.088 c=10.546 alpha=90.00 beta=90.00 gamma=90.00
Space group I-4m2 (No. 119)
One atom of each set of equivalent atoms:
Te: 0.000 0.000 0.000 (multiplicity 2)
Te: 0.000 0.500 0.250 (multiplicity 2)
As: 0.000 0.500 0.750 (multiplicity 2)
Rh: 0.000 0.000 0.500 (multiplicity 2)